{"formula": "NpPd4Pt", "functional": "PBE-GGA", "state": "optimized geometry", "lattice": [[4.868, 0.117, 0.752], [1.238, 4.218, 2.409], [0.075, 0.073, 5.048]], "species": ["Pt", "Pd", "Pd", "Pd", "Pd", "Np"], "fractional_positions": [[0.500, 0.500, 0.000], [0.500, 0.828, 0.344], [0.000, 0.665, 0.670], [0.500, 0.172, 0.656], [0.000, 0.335, 0.330], [0.000, 0.000, 0.000]], "delta_e_f_kj_per_mol_fu": -195, "spacegroup": "No. 12", "total_magnetization_mub_per_fu": 3.15, "vol_a3_per_cell": 102, "relative_energy_mev_per_atom": 0.0, "crystal_system": "monoclinic"}

***

{"formula": "TaTiP2", "functional": "PBE-GGA", "state": "optimized geometry", "lattice": [[0.000, 3.087, 3.087], [3.087, 0.000, 3.087], [3.087, 3.087, 0.000]], "species": ["P", "P", "Ta", "Ti"], "fractional_positions": [[0.250, 0.250, 0.250], [0.750, 0.750, 0.750], [0.500, 0.500, 0.500], [0.000, 0.000, 0.000]], "delta_e_f_kj_per_mol_fu": -251, "spacegroup": "No. 225", "total_magnetization_mub_per_fu": 0.00, "vol_a3_per_cell": 59, "relative_energy_mev_per_atom": 321.2, "crystal_system": "cubic"}

***

{"formula": "MoIrRh2", "functional": "PBE-GGA", "state": "optimized geometry", "lattice": [[-4.461, 1.368, 0.787], [-2.258, 0.312, -4.146], [2.592, -3.473, 1.901]], "species": ["Mo", "Rh", "Rh", "Ir"], "fractional_positions": [[0.750, 0.250, 0.500], [0.000, 0.000, 0.000], [0.250, 0.750, 0.500], [0.500, 0.500, 0.000]], "delta_e_f_kj_per_mol_fu": -77, "spacegroup": "No. 119", "total_magnetization_mub_per_fu": 0.00, "vol_a3_per_cell": 58, "relative_energy_mev_per_atom": 85.2, "crystal_system": "tetragonal"}